[1]
CaZr2Re | Alexandria via LeMat-Bulk | PBE | relaxed; theoretical density = 7.232 g/cm3; symmetry = P4mm (99); E_form = 1.0 eV/f.u.; E_tot = -0.561 Ry per atom; crystal system = tetragonal; polymorph energy (0 for the lowest one) = 210 meV/atom; V = 94 Å³/f.u.; N(E_F) = 1.1878 states/eV per atom
1.0
3.435 0.000 0.000
0.000 3.435 0.000
0.000 0.000 7.953
Zr Re Ca
2 1 1
Cartesian
1.718 1.718 1.534
0.000 0.000 7.664
1.718 1.718 6.363
0.000 0.000 4.323

---

[2]
Ca2ZrRe | Alexandria via LeMat-Bulk | PBE | relaxed; theoretical density = 6.368 g/cm3; symmetry = P4/mmm (123); E_form = 2.9 eV/f.u.; E_tot = -0.406 Ry per atom; crystal system = tetragonal; polymorph energy (0 for the lowest one) = 526 meV/atom; V = 93 Å³/f.u.; N(E_F) = 1.5270 states/eV per atom
1.0
2.957 0.000 0.000
0.000 2.957 0.000
0.000 0.000 10.662
Ca Zr Re
2 1 1
Cartesian
0.000 0.000 5.023
0.000 0.000 0.308
1.479 1.479 7.997
1.479 1.479 2.666